# 1
Compound: KZn2HgPt
Source: Alexandria via LeMat-Bulk
Functional: PBE-GGA
Structure: relaxed

Output
Its density is 7.12 g/cm3. For the formation energy, the calculation gives -0.285 eV per atom.

abc: 4.958 4.958 5.365
angles: 90.00 90.00 90.00
Space group P4/mmm (No. 123)
Symmetry-distinct sites (fractional):
1 K 0.000 0.000 0.000 x1
2 Zn 0.000 0.500 0.500 x2
3 Hg 0.500 0.500 0.000 x1
4 Pt 0.500 0.500 0.500 x1

---

# 2
Compound: LaNi4Mo
Source: Alexandria via LeMat-Bulk
Functional: PBE-GGA
Structure: relaxed

Output
Its density is 8.81 g/cm3. For the formation energy, the calculation gives 0.089 eV per atom.

abc: 7.074 7.074 7.074
angles: 90.00 90.00 90.00
Space group F-43m (No. 216)
Symmetry-distinct sites (fractional):
1 La 0.000 0.000 0.000 x4
2 Ni 0.123 0.123 0.377 x16
3 Mo 0.250 0.250 0.750 x4